(1)
Computed, not measured: a relaxed structure of InSi2Bi2 at the PBE level of DFT.

a b c (Å): 8.144 8.144 3.829
angles (deg): 90.00 90.00 90.00
Fractional coordinates of all 10 atoms:
1 Si 0.892 0.608 0.000
2 Si 0.392 0.892 0.000
3 Bi 0.676 0.824 0.500
4 In 0.000 0.000 0.000
5 In 0.500 0.500 0.000
6 Si 0.108 0.392 0.000
7 Si 0.608 0.108 0.000
8 Bi 0.324 0.176 0.500
9 Bi 0.824 0.324 0.500
10 Bi 0.176 0.676 0.500

## Properties
Formation energy from raw total energies, eV per atom: 0.39
Space-group type: P4/mbm, No. 127
Final energy, eV/atom: -3.88
Relative energy among the computed polymorphs, meV/atom: 134

(2)
Computed, not measured: a relaxed structure of InSi3Bi at the PBE level of DFT.

a b c (Å): 5.125 5.125 5.125
angles (deg): 90.00 90.00 90.00
Fractional coordinates of all 5 atoms:
1 Si 0.500 0.000 0.000
2 Si 0.000 0.000 0.500
3 In 0.000 0.000 0.000
4 Bi 0.500 0.500 0.500
5 Si 0.000 0.500 0.000

## Properties
Formation energy from raw total energies, eV per atom: 1.13
Space-group type: Pm-3m, No. 221
Final energy, eV/atom: -3.45
Relative energy among the computed polymorphs, meV/atom: 0

(3)
Computed, not measured: a relaxed structure of InSi2Bi at the PBE level of DFT.

a b c (Å): 5.060 5.060 5.060
angles (deg): 60.00 60.00 60.00
Fractional coordinates of all 4 atoms:
1 Si 0.250 0.250 0.250
2 Si 0.750 0.750 0.750
3 Bi 0.500 0.500 0.500
4 In 0.000 0.000 0.000

## Properties
Formation energy from raw total energies, eV per atom: 0.56
Space-group type: Fm-3m, No. 225
Final energy, eV/atom: -3.81
Relative energy among the computed polymorphs, meV/atom: 202

(4)
Computed, not measured: a relaxed structure of InSi2Bi at the PBE level of DFT.

a b c (Å): 6.208 6.208 7.615
angles (deg): 65.95 65.95 90.00
Fractional coordinates of all 8 atoms:
1 Si 0.140 0.625 0.250
2 Si 0.375 0.390 0.750
3 In 0.500 0.500 0.000
4 Si 0.875 0.860 0.750
5 In 0.250 0.750 0.500
6 Si 0.610 0.125 0.250
7 Bi 0.000 0.000 0.000
8 Bi 0.750 0.250 0.500

## Properties
Formation energy from raw total energies, eV per atom: 0.36
Space-group type: I-42d, No. 122
Final energy, eV/atom: -4.01
Relative energy among the computed polymorphs, meV/atom: 0

(5)
Computed, not measured: a relaxed structure of In12Si3Bi5 at the PBE level of DFT.

a b c (Å): 15.032 15.032 15.032
angles (deg): 109.47 109.47 109.47
Fractional coordinates of all 80 atoms:
1 In 0.896 0.832 0.758
2 In 0.758 0.332 0.896
3 Bi 0.000 0.500 0.500
4 In 0.396 0.138 0.564
5 In 0.564 0.638 0.396
6 In 0.896 0.064 0.638
7 In 0.242 0.668 0.104
8 Si 0.750 0.375 0.125
9 Bi 0.625 0.750 0.875
10 Bi 0.875 0.625 0.750
11 In 0.242 0.574 0.638
12 Bi 0.125 0.750 0.375
13 Si 0.375 0.750 0.625
14 Si 0.875 0.750 0.125
15 In 0.832 0.936 0.074
16 In 0.426 0.668 0.064
17 Bi 0.375 0.125 0.750
18 In 0.862 0.258 0.426
19 In 0.742 0.604 0.168
20 In 0.668 0.242 0.604
21 In 0.668 0.426 0.564
22 In 0.332 0.574 0.436
23 In 0.064 0.168 0.426
24 In 0.436 0.362 0.604
25 In 0.426 0.758 0.862
26 In 0.332 0.758 0.396
27 In 0.574 0.332 0.936
28 In 0.362 0.436 0.104
29 Si 0.625 0.375 0.750
30 Bi 0.500 0.000 0.000
31 In 0.638 0.564 0.896
32 In 0.104 0.936 0.362
33 In 0.758 0.426 0.362
34 In 0.832 0.896 0.258
35 In 0.436 0.074 0.332
36 In 0.104 0.168 0.242
37 Bi 0.250 0.375 0.625
38 Si 0.750 0.875 0.625
39 In 0.926 0.362 0.258
40 Si 0.125 0.875 0.750
41 In 0.362 0.926 0.758
42 Bi 0.250 0.875 0.125
43 Bi 0.500 0.000 0.500
44 In 0.168 0.104 0.742
45 In 0.168 0.064 0.926
46 Bi 0.750 0.625 0.375
47 In 0.742 0.138 0.074
48 Si 0.875 0.125 0.250
49 Si 0.250 0.625 0.875
50 Si 0.625 0.250 0.375
51 Bi 0.500 0.500 0.000
52 Bi 0.375 0.250 0.125
53 In 0.138 0.396 0.064
54 In 0.862 0.604 0.936
55 In 0.936 0.104 0.862
56 In 0.574 0.242 0.138
57 In 0.564 0.926 0.668
58 In 0.604 0.742 0.668
59 Bi 0.125 0.375 0.250
60 Si 0.375 0.625 0.250
61 In 0.926 0.564 0.168
62 In 0.638 0.074 0.242
63 Si 0.250 0.125 0.375
64 Bi 0.750 0.125 0.875
65 Si 0.125 0.250 0.875
66 In 0.074 0.436 0.832
67 In 0.258 0.862 0.926
68 Bi 0.875 0.250 0.625
69 In 0.074 0.638 0.742
70 In 0.936 0.832 0.574
71 Bi 0.000 0.000 0.000
72 Bi 0.000 0.500 0.000
73 In 0.064 0.896 0.138
74 In 0.138 0.742 0.574
75 In 0.396 0.258 0.332
76 Bi 0.625 0.875 0.250
77 Bi 0.000 0.000 0.500
78 Bi 0.500 0.500 0.500
79 In 0.258 0.396 0.832
80 In 0.604 0.862 0.436

## Properties
Formation energy from raw total energies, eV per atom: 0.25
Space-group type: Ia-3d, No. 230
Final energy, eV/atom: -3.17

(6)
Computed, not measured: a relaxed structure of In2SiBi2 at the PBE level of DFT.

a b c (Å): 7.690 7.690 5.173
angles (deg): 90.00 90.00 90.00
Fractional coordinates of all 10 atoms:
1 In 0.330 0.170 0.500
2 In 0.170 0.670 0.500
3 Si 0.500 0.500 0.000
4 In 0.830 0.330 0.500
5 Bi 0.854 0.646 0.000
6 In 0.670 0.830 0.500
7 Bi 0.146 0.354 0.000
8 Si 0.000 0.000 0.000
9 Bi 0.354 0.854 0.000
10 Bi 0.646 0.146 0.000

## Properties
Formation energy from raw total energies, eV per atom: 0.35
Space-group type: P4/mbm, No. 127
Final energy, eV/atom: -3.39